Run one
A crystal of TcRu2W relaxed with PBEsol, computed with meta-GGA SCAN.

## Properties
DOS at the Fermi energy in states/eV/cell: 4.11
M_tot in μB/f.u.: 0.0

Unit cell a=2.7068 b=2.7068 c=7.7171 alpha=90.00 beta=90.00 gamma=90.00
With the nearest neighbours (Å) after each atom.
Element x y z (fractional)
Ru: 0.0000 0.0000 0.0052  8 Ru 2.70-2.71, 4 W 2.72
Ru: 0.5000 0.5000 0.2521  4 Tc 2.64, 8 Ru 2.70-2.71
Tc: 0.0000 0.0000 0.4873  4 Ru 2.64, 4 Tc 2.71, 4 W 2.82
W: 0.5000 0.5000 0.7555  4 W 2.71, 4 Ru 2.72, 4 Tc 2.82



Run two
A crystal of TcRu2W relaxed with PBEsol, computed with meta-GGA SCAN.

## Properties
DOS at the Fermi energy in states/eV/cell: 3.26
M_tot in μB/f.u.: 0.0

Unit cell a=2.7210 b=3.8020 c=5.4432 alpha=90.00 beta=90.00 gamma=90.00
With the nearest neighbours (Å) after each atom.
Element x y z (fractional)
Ru: 0.0000 0.0000 0.7566  4 Ru 2.65-2.79, 4 Tc 2.69, 4 W 2.72
Ru: 0.0000 0.0000 0.2434  4 Ru 2.65-2.79, 4 Tc 2.69, 4 W 2.72
Tc: 0.5000 0.5000 0.0000  8 Ru 2.69, 2 Tc 2.72, 2 W 2.72
W: 0.5000 0.5000 0.5000  2 W 2.72, 2 Tc 2.72, 8 Ru 2.72



Run three
A crystal of TcRu2W relaxed with PBEsol, computed with meta-GGA SCAN.

## Properties
DOS at the Fermi energy in states/eV/cell: 3.81
M_tot in μB/f.u.: 0.0

Unit cell a=3.8386 b=3.8386 c=4.6850 alpha=114.18 beta=114.18 gamma=90.00
With the nearest neighbours (Å) after each atom.
Element x y z (fractional)
Ru: 0.7500 0.2500 0.5000  4 W 2.71, 4 Tc 2.71, 4 Ru 2.71
Ru: 0.2500 0.7500 0.5000  4 W 2.71, 4 Tc 2.71, 4 Ru 2.71
Tc: 0.0000 0.0000 0.0000  8 Ru 2.71, 4 W 2.71
W: 0.5000 0.5000 0.0000  8 Ru 2.71, 4 Tc 2.71



Run four
A crystal of TcRu2W relaxed with PBEsol, computed with meta-GGA SCAN.

## Properties
DOS at the Fermi energy in states/eV/cell: 3.95
M_tot in μB/f.u.: 0.0

Unit cell a=3.8230 b=3.8359 c=3.8359 alpha=90.00 beta=90.00 gamma=90.00
With the nearest neighbours (Å) after each atom.
Element x y z (fractional)
Ru: 0.0000 0.0000 0.5000  4 W 2.71, 4 Tc 2.71, 4 Ru 2.71
Ru: 0.0000 0.5000 0.0000  4 W 2.71, 4 Tc 2.71, 4 Ru 2.71
Tc: 0.5000 0.5000 0.5000  8 Ru 2.71, 4 W 2.71
W: 0.5000 0.0000 0.0000  8 Ru 2.71, 4 Tc 2.71



Which of them is most stable? Easy: run four.



Run one
A crystal of TcRu2W relaxed with PBEsol, computed with meta-GGA SCAN.

## Properties
DOS at the Fermi energy in states/eV/cell: 3.80
M_tot in μB/f.u.: 0.0

Unit cell a=2.7201 b=4.6811 c=4.6811 alpha=109.17 beta=90.00 gamma=90.00
With the nearest neighbours (Å) after each atom.
Element x y z (fractional)
Ru: 0.0000 0.0000 0.5000  4 Tc 2.71, 4 W 2.71, 4 Ru 2.71-2.72
Ru: 0.0000 0.5000 0.0000  4 W 2.71, 4 Tc 2.71, 4 Ru 2.71-2.72
Tc: 0.5000 0.5000 0.5000  8 Ru 2.71, 2 W 2.71, 2 Tc 2.72
W: 0.5000 0.0000 0.0000  8 Ru 2.71, 2 Tc 2.71, 2 W 2.72



Run two
A crystal of TcRu2W relaxed with PBEsol, computed with meta-GGA SCAN.

## Properties
DOS at the Fermi energy in states/eV/cell: 3.25
M_tot in μB/f.u.: 0.0

Unit cell a=3.8182 b=3.8182 c=4.7144 alpha=113.89 beta=113.89 gamma=90.00
With the nearest neighbours (Å) after each atom.
Element x y z (fractional)
Ru: 0.0000 0.0000 0.0000  4 Tc 2.70, 4 W 2.72, 4 Ru 2.72
Ru: 0.7500 0.2500 0.5000  4 W 2.70, 4 Tc 2.72, 4 Ru 2.72
Tc: 0.5000 0.5000 0.0000  8 Ru 2.70-2.72, 4 W 2.72
W: 0.2500 0.7500 0.5000  8 Ru 2.70-2.72, 4 Tc 2.72



Which of them is most stable? Easy: run one.



Run one
A crystal of Tc2RuW relaxed with PBEsol, computed with meta-GGA SCAN.

## Properties
DOS at the Fermi energy in states/eV/cell: 5.88
M_tot in μB/f.u.: 0.0

Unit cell a=4.3343 b=4.3343 c=4.3343 alpha=60.00 beta=60.00 gamma=60.00
With the nearest neighbours (Å) after each atom.
Element x y z (fractional)
Ru: 0.5000 0.5000 0.5000  4 W 2.65, 4 Tc 2.65
Tc: 0.0000 0.0000 0.0000  4 Tc 2.65, 4 W 2.65
Tc: 0.7500 0.7500 0.7500  4 Ru 2.65, 4 Tc 2.65
W: 0.2500 0.2500 0.2500  4 Tc 2.65, 4 Ru 2.65



Run two
A crystal of Tc2RuW relaxed with PBEsol, computed with meta-GGA SCAN.

## Properties
DOS at the Fermi energy in states/eV/cell: 3.95
M_tot in μB/f.u.: 0.0

Unit cell a=3.8352 b=3.8352 c=3.8812 alpha=90.00 beta=90.00 gamma=90.00
With the nearest neighbours (Å) after each atom.
Element x y z (fractional)
Ru: 0.0000 0.0000 0.5000  4 W 2.71, 8 Tc 2.73
Tc: 0.0000 0.5000 0.0000  4 Tc 2.71, 4 W 2.73, 4 Ru 2.73
Tc: 0.5000 0.0000 0.0000  4 Tc 2.71, 4 Ru 2.73, 4 W 2.73
W: 0.5000 0.5000 0.5000  4 Ru 2.71, 8 Tc 2.73



Which of them is most stable? Easy: run two.



Run one
A crystal of TcRuW relaxed with PBEsol, computed with meta-GGA SCAN.

## Properties
DOS at the Fermi energy in states/eV/cell: 3.27
M_tot in μB/f.u.: 0.0

Unit cell a=4.1519 b=4.1519 c=4.1519 alpha=60.00 beta=60.00 gamma=60.00
With the nearest neighbours (Å) after each atom.
Element x y z (fractional)
Ru: 0.5000 0.5000 0.5000  4 Tc 2.54
Tc: 0.2500 0.2500 0.2500  4 W 2.54, 4 Ru 2.54
W: 0.0000 0.0000 0.0000  4 Tc 2.54



Run two
A crystal of TcRuW relaxed with PBEsol, computed with meta-GGA SCAN.

## Properties
DOS at the Fermi energy in states/eV/cell: 2.98
M_tot in μB/f.u.: 0.0

Unit cell a=3.1135 b=3.1135 c=5.0494 alpha=107.96 beta=107.96 gamma=90.00
With the nearest neighbours (Å) after each atom.
Element x y z (fractional)
Ru: 0.9927 0.9927 0.9855  4 W 2.66, 5 Tc 2.78-2.85
Tc: 0.6788 0.6788 0.3575  4 W 2.59, 5 Ru 2.78-2.85
W: 0.3285 0.3285 0.6570  4 Tc 2.59, 4 Ru 2.66



Which of them is most stable? Easy: run two.



Run one
A crystal of TcRuW2 relaxed with PBEsol, computed with meta-GGA SCAN.

## Properties
DOS at the Fermi energy in states/eV/cell: 3.77
M_tot in μB/f.u.: 0.0

Unit cell a=3.0989 b=3.0989 c=6.2328 alpha=90.00 beta=90.00 gamma=90.00
With the nearest neighbours (Å) after each atom.
Element x y z (fractional)
Ru: 0.0000 0.0000 0.4814  4 W 2.60, 4 Tc 2.84
Tc: 0.5000 0.5000 0.7700  4 W 2.59, 4 Ru 2.84
W: 0.0000 0.0000 0.9922  4 Tc 2.59, 4 W 2.74
W: 0.5000 0.5000 0.2564  4 Ru 2.60, 4 W 2.74



Run two
A crystal of TcRuW2 relaxed with PBEsol, computed with meta-GGA SCAN.

## Properties
DOS at the Fermi energy in states/eV/cell: 3.89
M_tot in μB/f.u.: 0.0

Unit cell a=3.9333 b=3.9333 c=4.7195 alpha=114.63 beta=114.63 gamma=90.00
With the nearest neighbours (Å) after each atom.
Element x y z (fractional)
Ru: 0.5000 0.5000 0.0000  8 W 2.74, 4 Tc 2.78
Tc: 0.0000 0.0000 0.0000  8 W 2.74, 4 Ru 2.78
W: 0.7500 0.2500 0.5000  4 Tc 2.74, 4 Ru 2.74, 4 W 2.78
W: 0.2500 0.7500 0.5000  4 Tc 2.74, 4 Ru 2.74, 4 W 2.78



Which of them is most stable? Easy: run one.



Run one
A crystal of TcRuW2 relaxed with PBEsol, computed with meta-GGA SCAN.

## Properties
DOS at the Fermi energy in states/eV/cell: 3.33
M_tot in μB/f.u.: 0.0

Unit cell a=3.0939 b=4.4412 c=5.0857 alpha=115.89 beta=107.71 gamma=90.00
With the nearest neighbours (Å) after each atom.
Element x y z (fractional)
Ru: 0.5000 0.0000 0.0000  4 W 2.71, 4 Tc 2.71
Tc: 0.0000 0.5000 0.0000  4 W 2.60, 4 Ru 2.71
W: 0.7422 0.7422 0.4845  2 Tc 2.60, 2 Ru 2.71, 4 W 2.71
W: 0.2578 0.2578 0.5155  2 Tc 2.60, 2 Ru 2.71, 4 W 2.71



Run two
A crystal of TcRuW2 relaxed with PBEsol, computed with meta-GGA SCAN.

## Properties
DOS at the Fermi energy in states/eV/cell: 3.97
M_tot in μB/f.u.: 0.0

Unit cell a=2.7599 b=2.7599 c=9.1005 alpha=81.28 beta=81.28 gamma=60.00
With the nearest neighbours (Å) after each atom.
Element x y z (fractional)
Ru: 0.5000 0.5000 0.5000  6 W 2.73, 6 Ru 2.76
Tc: 0.0000 0.0000 0.0000  6 Tc 2.76, 6 W 2.77
W: 0.2492 0.2492 0.2525  3 Ru 2.73, 6 W 2.76, 3 Tc 2.77
W: 0.7508 0.7508 0.7475  3 Ru 2.73, 6 W 2.76, 3 Tc 2.77



Which of them is most stable? Easy: run one.